A relaxed Ba6NaLiRh crystal. Source: Alexandria via LeMat-Bulk, functional GGA-PBE.

a b c (Å): 8.5185 8.5185 7.9706
angles (deg): 90.00 90.00 120.00
Closest atoms and distances in Å follow each position.
Sites, in units of the cell vectors:
Ba  0.0074  0.2968  0.2715  1 Rh 3.09
Ba  0.0074  0.7106  0.7286  1 Rh 3.09
Ba  0.2894  0.2968  0.7286  1 Rh 3.09
Ba  0.2894  0.9926  0.2715  1 Rh 3.09
Ba  0.7032  0.7106  0.2715  1 Rh 3.09
Ba  0.7032  0.9926  0.7286  1 Rh 3.09
Na  0.6667  0.3333  0.0000  6 Ba 3.76
Li  0.3333  0.6667  0.5000  6 Ba 3.49
Rh  0.0000  0.0000  0.5000  6 Ba 3.09

formation energy from the elements = 0.006 eV per atom
E = -22.068 eV per formula unit
total magnetization = 0.00 μB/atom
D(E_F) = 0.70 states/eV per atom
SG = P312